# MgPaFe | the Open Quantum Materials Database | PBE-GGA | optimized geometry
# Magnetization, μB per formula unit: 1.00
# Energy relative to the lowest polymorph listed for this composition, eV per formula unit: 0.00
data_MgPaFe
_space_group_name_H-M_alt 'P 1'
_space_group_IT_number 1
_space_group_name_Hall 'P 1'
_cell_length_a 4.4156
_cell_length_b 4.4156
_cell_length_c 4.4156
_cell_angle_alpha 60.00
_cell_angle_beta 60.00
_cell_angle_gamma 60.00
loop_
_atom_site_label
_atom_site_type_symbol
_atom_site_fract_x
_atom_site_fract_y
_atom_site_fract_z
Fe1 Fe 0.0000 0.0000 0.0000
Mg1 Mg 0.2500 0.2500 0.2500
Pa1 Pa 0.7500 0.7500 0.7500